# 1
This record from the Alexandria database describes Cs2MnH2F6 after structural relaxation. The functional is PBE with a Hubbard U.

a = 11.432 Å, b = 5.851 Å, c = 6.930 Å
α = 90.00°, β = 123.07°, γ = 90.00°
Space group C2/m (No. 12)
Inequivalent atoms, fractional coordinates:
Cs: 0.213 0.000 0.200
Mn: 0.000 0.000 0.500
H: 0.053 0.500 0.248
F: 0.040 0.230 0.724
F: 0.138 0.500 0.249

***

# 2
This record from the Alexandria database describes CsMnH2F6 after structural relaxation. The functional is PBE with a Hubbard U.

a = 8.135 Å, b = 8.679 Å, c = 9.048 Å
α = 90.00°, β = 107.87°, γ = 90.00°
Space group C2/c (No. 15)
Inequivalent atoms, fractional coordinates:
Cs: 0.000 0.194 0.250
Mn: 0.000 0.306 0.750
H: 0.250 0.056 0.754
F: 0.044 0.303 0.565
F: 0.183 0.132 0.822
F: 0.186 0.479 0.818

***

no.,DFT total energy (eV per formula unit)
1,-50.47
2,-48.31